(1)
An optimized crystal structure of MgCrCu, computed with GGA-PBE.

Lattice parameters (Å, degrees): 4.404 4.404 2.863 90.00 90.00 120.00
Fractional positions:
Mg (0.000, 0.000, 0.000)
Cr (0.667, 0.333, 0.413)
Cu (0.333, 0.667, 0.709)

Results
The value obtained for the total energy is -4.719 eV/atom.

=====

(2)
An optimized crystal structure of NdTaCo10, computed with GGA-PBE.

Lattice parameters (Å, degrees): 3.984 4.792 8.375 90.00 90.00 90.00
Fractional positions:
Nd (0.000, 0.000, 0.000)
Ta (0.000, 0.500, 0.500)
Co (0.000, 0.000, 0.349)
Co (0.000, 0.000, 0.651)
Co (0.000, 0.500, 0.190)
Co (0.000, 0.500, 0.810)
Co (0.500, 0.000, 0.500)
Co (0.500, 0.259, 0.264)
Co (0.500, 0.259, 0.736)
Co (0.500, 0.500, 0.000)
Co (0.500, 0.741, 0.264)
Co (0.500, 0.741, 0.736)

Results
The value obtained for the total energy is -7.288 eV/atom.

=====

(3)
An optimized crystal structure of Tl2CdIn4Bi, computed with GGA-PBE.

Lattice parameters (Å, degrees): 8.888 8.888 8.888 121.08 118.25 90.60
Fractional positions:
Tl (0.000, 0.000, 0.000)
Tl (0.500, 0.000, 0.000)
Tl (0.500, 0.000, 0.500)
Tl (0.500, 0.500, 0.500)
Cd (0.000, 0.500, 0.500)
Cd (0.500, 0.500, 0.000)
In (0.233, 0.741, 0.492)
In (0.248, 0.271, 0.523)
In (0.248, 0.725, 0.977)
In (0.251, 0.259, 0.992)
In (0.749, 0.741, 0.008)
In (0.752, 0.275, 0.023)
In (0.752, 0.729, 0.477)
In (0.767, 0.259, 0.508)
Bi (0.000, 0.000, 0.500)
Bi (0.000, 0.500, 0.000)

Results
The value obtained for the total energy is -2.457 eV/atom.

=====

(4)
An optimized crystal structure of Hf2MgNi9, computed with GGA-PBE.

Lattice parameters (Å, degrees): 8.343 8.343 8.343 33.62 33.62 33.62
Fractional positions:
Hf (0.138, 0.138, 0.138)
Hf (0.862, 0.862, 0.862)
Mg (0.000, 0.000, 0.000)
Ni (0.080, 0.587, 0.587)
Ni (0.334, 0.334, 0.334)
Ni (0.413, 0.413, 0.920)
Ni (0.413, 0.920, 0.413)
Ni (0.500, 0.500, 0.500)
Ni (0.587, 0.080, 0.587)
Ni (0.587, 0.587, 0.080)
Ni (0.666, 0.666, 0.666)
Ni (0.920, 0.413, 0.413)

Results
The value obtained for the total energy is -6.455 eV/atom.

=====

(5)
An optimized crystal structure of Tl2CdNi2, computed with GGA-PBE.

Lattice parameters (Å, degrees): 7.126 7.126 3.622 90.00 90.00 90.00
Fractional positions:
Tl (0.165, 0.335, 0.000)
Tl (0.335, 0.835, 0.000)
Tl (0.665, 0.165, 0.000)
Tl (0.835, 0.665, 0.000)
Cd (0.000, 0.000, 0.500)
Cd (0.500, 0.500, 0.500)
Ni (0.133, 0.633, 0.500)
Ni (0.367, 0.133, 0.500)
Ni (0.633, 0.867, 0.500)
Ni (0.867, 0.367, 0.500)

Results
The value obtained for the total energy is -3.255 eV/atom.

=====

(6)
An optimized crystal structure of Sr2ScI, computed with GGA-PBE.

Lattice parameters (Å, degrees): 9.483 9.483 7.622 90.00 90.00 90.00
Fractional positions:
Sr (0.216, 0.750, 0.125)
Sr (0.250, 0.216, 0.875)
Sr (0.250, 0.284, 0.375)
Sr (0.284, 0.750, 0.625)
Sr (0.716, 0.250, 0.625)
Sr (0.750, 0.716, 0.375)
Sr (0.750, 0.784, 0.875)
Sr (0.784, 0.250, 0.125)
Sc (0.000, 0.000, 0.500)
Sc (0.000, 0.500, 0.750)
Sc (0.500, 0.000, 0.250)
Sc (0.500, 0.500, 0.000)
I (0.000, 0.000, 0.000)
I (0.000, 0.500, 0.250)
I (0.500, 0.000, 0.750)
I (0.500, 0.500, 0.500)

Results
The value obtained for the total energy is -2.806 eV/atom. As for the formation energy without anion corrections: 5.2 meV/atom.

=====

(7)
An optimized crystal structure of Mg2Al3Au4, computed with GGA-PBE.

Lattice parameters (Å, degrees): 8.196 8.196 5.808 90.00 90.00 120.48
Fractional positions:
Mg (0.106, 0.894, 0.953)
Mg (0.394, 0.606, 0.453)
Mg (0.606, 0.394, 0.547)
Mg (0.894, 0.106, 0.047)
Al (0.000, 0.000, 0.500)
Al (0.018, 0.482, 0.750)
Al (0.482, 0.018, 0.250)
Al (0.500, 0.500, 0.000)
Al (0.518, 0.982, 0.750)
Al (0.982, 0.518, 0.250)
Au (0.191, 0.809, 0.526)
Au (0.205, 0.295, 0.750)
Au (0.295, 0.205, 0.250)
Au (0.309, 0.691, 0.026)
Au (0.691, 0.309, 0.974)
Au (0.705, 0.795, 0.750)
Au (0.795, 0.705, 0.250)
Au (0.809, 0.191, 0.474)

Results
The value obtained for the total energy is -3.452 eV/atom.

=====

(8)
An optimized crystal structure of La8SiN4, computed with GGA-PBE.

Lattice parameters (Å, degrees): 7.848 7.848 7.848 60.00 60.00 60.00
Fractional positions:
La (0.394, 0.394, 0.394)
La (0.394, 0.394, 0.819)
La (0.394, 0.819, 0.394)
La (0.421, 0.860, 0.860)
La (0.819, 0.394, 0.394)
La (0.860, 0.421, 0.860)
La (0.860, 0.860, 0.421)
La (0.860, 0.860, 0.860)
Si (0.250, 0.250, 0.250)
N (0.114, 0.629, 0.629)
N (0.629, 0.114, 0.629)
N (0.629, 0.629, 0.114)
N (0.629, 0.629, 0.629)

Results
The value obtained for the total energy is -6.804 eV/atom. As for the formation energy without anion corrections: -792.7 meV/atom.

=====

(9)
An optimized crystal structure of U5P4S, computed with GGA-PBE.

Lattice parameters (Å, degrees): 6.783 6.783 6.783 99.59 99.59 131.82
Fractional positions:
U (0.000, 0.000, 0.000)
U (0.200, 0.400, 0.600)
U (0.400, 0.800, 0.200)
U (0.600, 0.200, 0.800)
U (0.800, 0.600, 0.400)
P (0.100, 0.700, 0.800)
P (0.300, 0.100, 0.400)
P (0.700, 0.900, 0.600)
P (0.900, 0.300, 0.200)
S (0.500, 0.500, 0.000)

Results
The value obtained for the total energy is -9.278 eV/atom. As for the formation energy without anion corrections: -1057.2 meV/atom.

=====

(10)
An optimized crystal structure of InHg4Se, computed with GGA-PBE.

Lattice parameters (Å, degrees): 6.172 6.172 6.172 60.00 60.00 60.00
Fractional positions:
In (0.000, 0.000, 0.000)
Hg (0.375, 0.375, 0.375)
Hg (0.375, 0.375, 0.874)
Hg (0.375, 0.874, 0.375)
Hg (0.874, 0.375, 0.375)
Se (0.750, 0.750, 0.750)

Results
The value obtained for the total energy is -1.075 eV/atom. As for the formation energy without anion corrections: 163.4 meV/atom.

=====

(11)
An optimized crystal structure of MnCoAsSe2, computed with GGA-PBE.

Lattice parameters (Å, degrees): 4.635 4.635 4.476 90.00 90.00 90.00
Fractional positions:
Mn (0.000, 0.000, 0.000)
Co (0.500, 0.500, 0.500)
As (0.000, 0.000, 0.500)
Se (0.000, 0.500, 0.000)
Se (0.500, 0.000, 0.000)

Results
The value obtained for the total energy is -4.714 eV/atom. As for the formation energy without anion corrections: 864.5 meV/atom.

=====

(12)
An optimized crystal structure of TiSb2TeH, computed with GGA-PBE.

Lattice parameters (Å, degrees): 5.262 5.262 5.322 90.00 90.00 90.00
Fractional positions:
Ti (0.000, 0.000, 0.000)
Sb (0.000, 0.500, 0.000)
Sb (0.500, 0.000, 0.000)
Te (0.000, 0.000, 0.500)
H (0.500, 0.500, 0.500)

Results
The value obtained for the total energy is -4.029 eV/atom.